(1)
Entry from OQMD via LeMat-Bulk: a relaxed structure of Tm3NiGe3 (PBE).

extended XYZ file:
```
14
Lattice="-5.305 -1.117 -1.396 -2.764 -4.353 -2.178 1.491 -2.067 13.391" Properties=species:S:1:pos:R:3 pbc="T T T"
Tm -1.653 -1.956 2.724
Tm -2.972 -4.730 9.913
Tm -2.384 -3.399 6.320
Tm -4.194 -4.138 3.497
Tm -3.605 -2.807 -0.096
Tm -4.924 -5.581 7.093
Ni -5.931 -4.331 -1.346
Ni -0.646 -3.206 11.162
Ge -5.517 -6.680 9.713
Ge 0.787 -1.738 9.744
Ge -1.060 -0.857 0.104
Ge -0.162 -1.883 7.264
Ge -7.364 -5.799 0.073
Ge -6.415 -5.654 2.553
```

Results
- symmetry = C2/m, No. 12
- calculated total energy (eV per atom) = -5.525

=====

(2)
Entry from OQMD via LeMat-Bulk: a relaxed structure of Tm2NiGe6 (PBE).

extended XYZ file:
```
9
Lattice="-1.201 4.748 9.670 -0.569 -1.408 -10.732 -3.628 -1.787 0.427" Properties=species:S:1:pos:R:3 pbc="T T T"
Ge -0.841 1.244 -1.941
Ge -0.928 2.095 0.878
Ge -0.701 -0.116 -6.448
Ge -1.068 3.455 5.386
Ge -2.973 3.442 8.517
Ge -2.425 -1.890 -9.153
Tm -2.588 -0.303 -3.896
Tm -2.810 1.856 3.260
Ni 0.000 0.000 0.000
```

Results
- symmetry = Cmmm, No. 65
- calculated total energy (eV per atom) = -5.172

=====

> Among the records above, which one has the highest calculated total energy?

Tm2NiGe6

=====

> Among the records above, which one has the lowest calculated total energy?

Tm3NiGe3

=====

> calculated total energy of number 2 (Tm2NiGe6)?

-5.172 eV per atom